# 1
Below is a geometry-optimized DyZrSc3 structure, with properties calculated at the PBE level.

Results
Raw total energy in eV for the cell shown: -62.76
Size of the total moment in Bohr magnetons per cell: 0.0
SG: No. 11
E_form in eV per formula unit: 0.76
Energy above the most stable polymorph in this dataset in eV/atom: 0.112
D(E_F) in states/eV/cell: 12.692

Unit cell a=3.2731 b=7.8689 c=13.0708 alpha=128.53 beta=90.00 gamma=90.00
Last column: nearest neighbours and their distance in Å.
Atoms (fractional coordinates):
Zr: 0.2500 0.8796 0.3739  4 Zr 3.06-3.27, 6 Sc 3.06-3.20
Zr: 0.7500 0.1204 0.6261  4 Zr 3.06-3.27, 6 Sc 3.06-3.20
Sc: 0.2500 0.7102 0.0900  1 Zr 3.06, 6 Sc 3.08-3.27, 2 Dy 3.38
Sc: 0.7500 0.1291 0.2931  7 Sc 3.02-3.27, 2 Zr 3.20
Sc: 0.7500 0.6131 0.4358  5 Sc 3.02-3.27, 3 Zr 3.12-3.14
Sc: 0.7500 0.2898 0.9100  1 Zr 3.06, 6 Sc 3.08-3.27, 2 Dy 3.38
Sc: 0.2500 0.8709 0.7069  7 Sc 3.02-3.27, 2 Zr 3.20
Sc: 0.2500 0.3869 0.5642  5 Sc 3.02-3.27, 3 Zr 3.12-3.14
Dy: 0.2500 0.2817 0.1335  2 Dy 3.27, 6 Sc 3.38-3.50
Dy: 0.7500 0.7183 0.8665  2 Dy 3.27, 6 Sc 3.38-3.50

# 2
Below is a geometry-optimized WBr structure, with properties calculated at the PBE level.

Results
Raw total energy in eV for the cell shown: -79.75
Size of the total moment in Bohr magnetons per cell: 0.0
SG: No. 176
Energy above the most stable polymorph in this dataset in eV/atom: 0.585
Uncorrected formation energy in eV/f.u.: 1.334
D(E_F) in states/eV/cell: 2.356

Unit cell a=11.4073 b=11.4073 c=3.3363 alpha=90.00 beta=90.00 gamma=120.00
Last column: nearest neighbours and their distance in Å.
Atoms (fractional coordinates):
Br: 0.7788 0.2244 0.2500  3 W 2.55-2.85
Br: 0.7756 0.5544 0.2500  3 W 2.55-2.85
Br: 0.2244 0.4456 0.7500  3 W 2.55-2.85
Br: 0.5544 0.7788 0.7500  3 W 2.55-2.85
Br: 0.4456 0.2212 0.2500  3 W 2.55-2.85
Br: 0.2212 0.7756 0.7500  3 W 2.55-2.85
W: 0.4170 0.9845 0.2500  2 W 2.41, 1 Br 2.55
W: 0.9845 0.5676 0.7500  2 W 2.41, 1 Br 2.55
W: 0.5676 0.5830 0.2500  2 W 2.41, 1 Br 2.55
W: 0.0155 0.4324 0.2500  2 W 2.41, 1 Br 2.55
W: 0.4324 0.4170 0.7500  2 W 2.41, 1 Br 2.55
W: 0.5830 0.0155 0.7500  2 W 2.41, 1 Br 2.55

# 3
Below is a geometry-optimized Pr3Tm7Th structure, with properties calculated at the PBE level.

Results
Raw total energy in eV for the cell shown: -51.13
Size of the total moment in Bohr magnetons per cell: 0.0
SG: No. 156
E_form in eV per formula unit: 1.93
D(E_F) in states/eV/cell: 16.418

Unit cell a=8.7325 b=7.0092 c=7.0092 alpha=120.00 beta=90.00 gamma=90.00
Last column: nearest neighbours and their distance in Å.
Atoms (fractional coordinates):
Pr: 0.7818 0.0033 0.5016  4 Pr 3.47-3.54, 1 Th 3.58, 5 Tm 3.58-3.62
Pr: 0.7818 0.4984 0.9967  4 Pr 3.47-3.54, 1 Th 3.58, 5 Tm 3.58-3.62
Pr: 0.7818 0.4984 0.5016  4 Pr 3.47-3.54, 1 Th 3.58, 5 Tm 3.58-3.62
Tm: 0.1241 0.6634 0.8317  1 Th 3.43, 8 Tm 3.45-3.54, 2 Pr 3.60
Tm: 0.4436 0.3339 0.1669  7 Tm 3.44-3.51, 2 Th 3.50, 2 Pr 3.58
Tm: 0.1241 0.1683 0.8317  1 Th 3.43, 8 Tm 3.45-3.54, 2 Pr 3.60
Tm: 0.4436 0.8331 0.1669  7 Tm 3.44-3.51, 2 Th 3.50, 2 Pr 3.58
Tm: 0.1241 0.1683 0.3366  1 Th 3.43, 8 Tm 3.45-3.54, 2 Pr 3.60
Tm: 0.1242 0.6667 0.3333  9 Tm 3.44-3.50, 3 Pr 3.62
Tm: 0.4436 0.8331 0.6661  7 Tm 3.44-3.51, 2 Th 3.50, 2 Pr 3.58
Th: 0.4424 0.3333 0.6667  9 Tm 3.43-3.50, 3 Pr 3.58

# 4
Below is a geometry-optimized CuReNi2 structure, with properties calculated at the PBE level.

Results
Raw total energy in eV for the cell shown: -27.60
Size of the total moment in Bohr magnetons per cell: 0.0
SG: No. 65
E_form in eV per formula unit: 0.51
Energy above the most stable polymorph in this dataset in eV/atom: 0.138
D(E_F) in states/eV/cell: 4.755

Unit cell a=5.8235 b=4.4885 c=2.5682 alpha=90.03 beta=63.78 gamma=121.49
Last column: nearest neighbours and their distance in Å.
Atoms (fractional coordinates):
Re: 0.0000 0.5000 0.5000  2 Re 2.57, 8 Ni 2.59, 2 Cu 2.61
Ni: 0.0000 0.0000 0.0000  4 Ni 2.57-2.61, 4 Re 2.59, 4 Cu 2.59
Ni: 0.5000 0.0000 0.5000  4 Ni 2.57-2.61, 4 Cu 2.59, 4 Re 2.59
Cu: 0.5000 0.5000 0.0000  2 Cu 2.57, 8 Ni 2.59, 2 Re 2.61

# 5
Below is a geometry-optimized TcIrOs2 structure, with properties calculated at the PBE level.

Results
Raw total energy in eV for the cell shown: -41.74
Size of the total moment in Bohr magnetons per cell: 0.0
SG: No. 123
E_form in eV per formula unit: -0.05
Energy above the most stable polymorph in this dataset in eV/atom: 0.000
D(E_F) in states/eV/cell: 4.082

Unit cell a=3.8532 b=3.8651 c=3.8651 alpha=90.00 beta=90.00 gamma=90.00
Last column: nearest neighbours and their distance in Å.
Atoms (fractional coordinates):
Os: 0.0000 0.0000 0.0000  4 Tc 2.73, 4 Ir 2.73, 4 Os 2.73
Os: 0.0000 0.5000 0.5000  4 Tc 2.73, 4 Ir 2.73, 4 Os 2.73
Ir: 0.5000 0.0000 0.5000  8 Os 2.73, 4 Tc 2.73
Tc: 0.5000 0.5000 0.0000  8 Os 2.73, 4 Ir 2.73

# 6
Below is a geometry-optimized KNa2SnSb2 structure, with properties calculated at the PBE level.

Results
Raw total energy in eV for the cell shown: -35.98
Size of the total moment in Bohr magnetons per cell: 0.0
SG: No. 26
Uncorrected formation energy in eV/f.u.: -2.006
D(E_F) in states/eV/cell: 4.003

Unit cell a=5.4396 b=8.1138 c=8.7687 alpha=90.00 beta=90.00 gamma=90.00
Last column: nearest neighbours and their distance in Å.
Atoms (fractional coordinates):
Sn: 0.5000 0.6633 0.3128  4 Sb 3.03-3.04
Sn: 0.5000 0.1633 0.6872  4 Sb 3.03-3.04
Sb: 0.5000 0.2930 0.3627  2 Sn 3.03-3.04, 3 Na 3.23-3.37
Sb: 0.0000 0.7225 0.1705  2 Sn 3.03, 2 Na 3.11-3.12
Sb: 0.0000 0.2225 0.8295  2 Sn 3.03, 2 Na 3.11-3.12
Sb: 0.5000 0.7930 0.6373  2 Sn 3.03-3.04, 3 Na 3.23-3.37
Na: 0.5000 0.5176 0.9247  3 Sb 3.37-3.72, 2 Sn 3.55-3.60, 2 Na 3.75
Na: 0.0000 0.3381 0.1680  4 Sb 3.11-3.23
Na: 0.0000 0.8381 0.8320  4 Sb 3.11-3.23
Na: 0.5000 0.0176 0.0753  3 Sb 3.37-3.72, 2 Sn 3.55-3.60, 2 Na 3.75
K: 0.0000 0.0112 0.4508  6 Sb 3.40-3.74, 2 Na 3.63, 2 Sn 3.64
K: 0.0000 0.5112 0.5492  6 Sb 3.40-3.74, 2 Na 3.63, 2 Sn 3.64